VASP calculation (PBE) on an optimized crystal structure of RbTlHg2Pb.

a = 5.085 Å, b = 5.085 Å, c = 7.597 Å
α = 109.56°, β = 109.56°, γ = 90.00°
Sites, in units of the cell vectors:
1 Rb 0.000 0.000 0.000
2 Tl 0.250 0.750 0.500
3 Hg 0.609 0.609 0.219
4 Hg 0.391 0.391 0.781
5 Pb 0.750 0.250 0.500

Calculated values
energy of formation from the pure elements = -136 meV/atom
SG = I-4m2
final energy = -8.325 eV for the cell shown
total moment = 0.0 μB per cell
ΔE to the lowest computed polymorph = 0.000 eV per atom
V = 173.1 Å³/cell


VASP calculation (PBE) on an optimized crystal structure of Na12CdPb6.

a = 8.363 Å, b = 8.363 Å, c = 8.363 Å
α = 88.67°, β = 91.33°, γ = 91.33°
Sites, in units of the cell vectors:
1 Na 0.480 0.814 0.421
2 Na 0.186 0.421 0.520
3 Na 0.579 0.520 0.814
4 Na 0.520 0.186 0.579
5 Na 0.814 0.579 0.480
6 Na 0.421 0.480 0.186
7 Na 0.859 0.037 0.377
8 Na 0.377 0.859 0.963
9 Na 0.037 0.623 0.859
10 Na 0.141 0.963 0.623
11 Na 0.623 0.141 0.037
12 Na 0.963 0.377 0.141
13 Cd 0.000 0.000 0.000
14 Pb 0.124 0.741 0.261
15 Pb 0.741 0.739 0.124
16 Pb 0.261 0.124 0.259
17 Pb 0.876 0.259 0.739
18 Pb 0.259 0.261 0.876
19 Pb 0.739 0.876 0.741

Calculated values
energy of formation from the pure elements = -115 meV/atom
SG = R-3
final energy = -41.181 eV for the cell shown
total moment = 0.0 μB per cell
V = 584.5 Å³/cell


VASP calculation (PBE) on an optimized crystal structure of Rb2LiGeF6.

a = 5.971 Å, b = 5.971 Å, c = 5.974 Å
α = 60.01°, β = 60.01°, γ = 90.00°
Site moments in Bohr magnetons follow the coordinates.
Sites, in units of the cell vectors:
1 Ge 0.000 0.000 0.000  0.32
2 Li 0.500 0.500 0.000  0.01
3 Rb 0.750 0.250 0.500  0.00
4 Rb 0.250 0.750 0.500  0.00
5 F 0.241 0.241 0.517  0.07
6 F 0.759 0.759 0.483  0.07
7 F 0.242 0.242 0.000  0.07
8 F 0.758 0.758 0.000  0.07
9 F 0.758 0.242 0.000  0.07
10 F 0.242 0.758 0.000  0.07

Calculated values
SG = Fm-3m
final energy = -45.505 eV for the cell shown
total moment = 0.8 μB per cell
V = 150.7 Å³/cell


VASP calculation (PBE) on an optimized crystal structure of TcSn2GeBr.

a = 5.216 Å, b = 5.216 Å, c = 4.804 Å
α = 90.00°, β = 90.00°, γ = 90.00°
Sites, in units of the cell vectors:
1 Ge 0.000 0.000 0.500
2 Sn 0.000 0.500 0.000
3 Sn 0.500 0.000 0.000
4 Br 0.500 0.500 0.500
5 Tc 0.000 0.000 0.000

Calculated values
SG = P4/mmm
final energy = -25.606 eV for the cell shown
total moment = 0.0 μB per cell
V = 130.7 Å³/cell


VASP calculation (PBE) on an optimized crystal structure of LiSnPb.

a = 3.925 Å, b = 3.925 Å, c = 9.900 Å
α = 90.00°, β = 90.00°, γ = 90.00°
Sites, in units of the cell vectors:
1 Li 0.500 0.000 0.769
2 Li 0.000 0.500 0.231
3 Sn 0.000 0.500 0.929
4 Sn 0.500 0.000 0.071
5 Pb 0.000 0.500 0.597
6 Pb 0.500 0.000 0.403

Calculated values
energy of formation from the pure elements = -144 meV/atom
SG = P4/nmm
final energy = -20.111 eV for the cell shown
total moment = 0.0 μB per cell
ΔE to the lowest computed polymorph = 0.008 eV per atom
V = 152.5 Å³/cell


VASP calculation (PBE) on an optimized crystal structure of Ag6PdAu10.

a = 5.615 Å, b = 8.027 Å, c = 8.027 Å
α = 120.00°, β = 90.00°, γ = 90.00°
Sites, in units of the cell vectors:
1 Ag 0.657 0.340 0.340
2 Ag 0.657 0.000 0.660
3 Ag 0.657 0.660 0.000
4 Ag 0.343 0.660 0.660
5 Ag 0.343 0.000 0.340
6 Ag 0.343 0.340 0.000
7 Pd 0.500 0.000 0.000
8 Au 0.846 0.697 0.697
9 Au 0.846 0.000 0.303
10 Au 0.846 0.303 0.000
11 Au 0.154 0.303 0.303
12 Au 0.154 0.000 0.697
13 Au 0.154 0.697 0.000
14 Au 0.500 0.333 0.667
15 Au 0.500 0.667 0.333
16 Au 0.000 0.667 0.333
17 Au 0.000 0.333 0.667

Calculated values
energy of formation from the pure elements = 39 meV/atom
SG = P-31m
final energy = -54.419 eV for the cell shown
total moment = 0.0 μB per cell
V = 313.3 Å³/cell


VASP calculation (PBE) on an optimized crystal structure of PmSm3Tm2S6.

a = 6.849 Å, b = 6.849 Å, c = 6.877 Å
α = 99.53°, β = 99.53°, γ = 120.15°
Sites, in units of the cell vectors:
1 Pm 0.000 0.000 0.000
2 Sm 0.161 0.839 0.500
3 Sm 0.839 0.161 0.500
4 Sm 0.500 0.500 0.500
5 Tm 0.334 0.666 0.000
6 Tm 0.666 0.334 0.000
7 S 0.920 0.575 0.759
8 S 0.735 0.735 0.237
9 S 0.080 0.425 0.241
10 S 0.575 0.920 0.759
11 S 0.265 0.265 0.763
12 S 0.425 0.080 0.241

Calculated values
SG = C2/m
final energy = -76.592 eV for the cell shown
total moment = 0.0 μB per cell
V = 263.1 Å³/cell


VASP calculation (PBE) on an optimized crystal structure of PmEr3Ni8.

a = 5.060 Å, b = 5.060 Å, c = 8.789 Å
α = 73.27°, β = 73.27°, γ = 60.00°
Sites, in units of the cell vectors:
1 Pm 0.875 0.875 0.375
2 Er 0.375 0.375 0.875
3 Er 0.001 0.001 0.998
4 Er 0.499 0.499 0.503
5 Ni 0.939 0.438 0.184
6 Ni 0.434 0.938 0.691
7 Ni 0.438 0.438 0.184
8 Ni 0.938 0.938 0.691
9 Ni 0.187 0.187 0.438
10 Ni 0.688 0.688 0.937
11 Ni 0.438 0.939 0.184
12 Ni 0.938 0.434 0.691

Calculated values
energy of formation from the pure elements = -445 meV/atom
SG = R3m
final energy = -70.025 eV for the cell shown
total moment = 0.0 μB per cell
V = 183.8 Å³/cell


What is the V in the second record?
584.5 Å³/cell


Look up the total moment of the eighth one.
0.0 μB per cell


Which of these has the lowest V?
TcSn2GeBr


Repeat the eighth record exactly.
VASP calculation (PBE) on an optimized crystal structure of PmEr3Ni8.

a = 5.060 Å, b = 5.060 Å, c = 8.789 Å
α = 73.27°, β = 73.27°, γ = 60.00°
Sites, in units of the cell vectors:
1 Pm 0.875 0.875 0.375
2 Er 0.375 0.375 0.875
3 Er 0.001 0.001 0.998
4 Er 0.499 0.499 0.503
5 Ni 0.939 0.438 0.184
6 Ni 0.434 0.938 0.691
7 Ni 0.438 0.438 0.184
8 Ni 0.938 0.938 0.691
9 Ni 0.187 0.187 0.438
10 Ni 0.688 0.688 0.937
11 Ni 0.438 0.939 0.184
12 Ni 0.938 0.434 0.691

Calculated values
energy of formation from the pure elements = -445 meV/atom
SG = R3m
final energy = -70.025 eV for the cell shown
total moment = 0.0 μB per cell
V = 183.8 Å³/cell